# KCoAgF4 | Alexandria via LeMat-Bulk | GGA+U | relaxed
data_KCoAgF4
_space_group_name_H-M_alt 'P 1 21/m 1'
_space_group_IT_number 11
_space_group_name_Hall '-P 2yb'
_cell_length_a 5.904
_cell_length_b 6.147
_cell_length_c 7.417
_cell_angle_alpha 90.00
_cell_angle_beta 111.04
_cell_angle_gamma 90.00
loop_
_atom_site_label
_atom_site_type_symbol
_atom_site_fract_x
_atom_site_fract_y
_atom_site_fract_z
K1 K 0.242 0.250 0.453
Co1 Co 0.027 0.250 0.829
Ag1 Ag 0.399 0.750 0.964
F1 F 0.146 0.003 0.725
F2 F 0.232 0.250 0.098
F3 F 0.323 0.750 0.258
# Electronic total energy   -4.297 eV per atom
# Density of states at the Fermi level   0.00 states/eV per cell